Record 1
! PrCd2Au6 (GGA-PBE, optimized geometry); values from VASP
&SYSTEM
  ibrav = 0, nat = 9, ntyp = 3
/
ATOMIC_SPECIES
Pr 140.91 Pr.upf
Cd 112.41 Cd.upf
Au 196.97 Au.upf
CELL_PARAMETERS angstrom
-0.488 3.272 -1.515
-8.154 0.516 -0.626
-4.678 3.872 5.501
ATOMIC_POSITIONS crystal
Pr 0.500 0.500 0.500
Cd 0.359 0.141 0.141
Cd 0.641 0.859 0.859
Au 0.179 0.500 0.141
Au 0.821 0.500 0.859
Au 0.821 0.859 0.500
Au 0.000 0.177 0.823
Au 0.000 0.823 0.177
Au 0.179 0.141 0.500
! Size of the total moment (μB/cell): 0.0
! Energy of formation from the pure elements (kJ/mol of formula units): -266

=====

Record 2
! UGaN (GGA-PBE, optimized geometry); values from VASP
&SYSTEM
  ibrav = 0, nat = 6, ntyp = 3
/
ATOMIC_SPECIES
U 238.03 U.upf
Ga 69.72 Ga.upf
N 14.01 N.upf
CELL_PARAMETERS angstrom
4.034 -0.007 0.013
0.005 3.797 0.510
-0.020 1.005 6.789
ATOMIC_POSITIONS crystal
U 0.250 0.833 0.333
U 0.750 0.167 0.667
Ga 0.250 0.556 0.896
Ga 0.750 0.444 0.104
N 0.750 0.751 0.498
N 0.250 0.249 0.502
! Formation energy (no corrections) (eV/atom): -0.87
! Size of the total moment (μB/cell): 2.2

=====

Record 3
! ScReNi3 (GGA-PBE, optimized geometry); values from VASP
&SYSTEM
  ibrav = 0, nat = 5, ntyp = 3
/
ATOMIC_SPECIES
Sc 44.96 Sc.upf
Re 186.21 Re.upf
Ni 58.69 Ni.upf
CELL_PARAMETERS angstrom
-2.212 -1.374 3.660
-2.939 -2.189 -2.598
2.578 -3.675 0.179
ATOMIC_POSITIONS crystal
Sc 0.500 0.500 0.500
Re 0.000 0.000 0.000
Ni 0.000 0.500 0.000
Ni 0.000 0.000 0.500
Ni 0.500 0.000 0.000
! Size of the total moment (μB/cell): 0.0
! Energy above the lowest structure with this stoichiometry (meV/atom): 0
! Energy of formation from the pure elements (kJ/mol of formula units): 365

=====

Record 4
! KBeBH6 (GGA-PBE, optimized geometry); values from VASP
&SYSTEM
  ibrav = 0, nat = 9, ntyp = 4
/
ATOMIC_SPECIES
K 39.10 K.upf
Be 9.01 Be.upf
B 10.81 B.upf
H 1.01 H.upf
CELL_PARAMETERS angstrom
3.962 0.000 0.000
1.981 3.432 0.000
0.000 0.000 5.560
ATOMIC_POSITIONS crystal
K 0.000 0.000 0.000
Be 0.667 0.667 0.500
B 0.333 0.333 0.500
H 0.029 0.347 0.354
H 0.347 0.029 0.646
H 0.624 0.347 0.646
H 0.029 0.624 0.646
H 0.347 0.624 0.354
H 0.624 0.029 0.354
! Size of the total moment (μB/cell): 0.0
! VASP energy (eV per atom): -3.355

=====

Record 5
! Tc2AgSb (GGA-PBE, optimized geometry); values from VASP
&SYSTEM
  ibrav = 0, nat = 4, ntyp = 3
/
ATOMIC_SPECIES
Ag 107.87 Ag.upf
Sb 121.76 Sb.upf
Tc 98.00 Tc.upf
CELL_PARAMETERS angstrom
-3.515 -0.299 2.846
-2.710 -1.102 -3.462
0.652 -3.108 0.478
ATOMIC_POSITIONS crystal
Ag 0.500 0.000 0.500
Sb 0.000 0.500 0.500
Tc 0.000 0.000 0.000
Tc 0.500 0.500 0.000
! Formation energy (no corrections) (eV/atom): 0.44
! Size of the total moment (μB/cell): 0.0

=====

Record 6
! UAs3Ru2 (GGA-PBE, optimized geometry); values from VASP
&SYSTEM
  ibrav = 0, nat = 12, ntyp = 3
/
ATOMIC_SPECIES
U 238.03 U.upf
As 74.92 As.upf
Ru 101.07 Ru.upf
CELL_PARAMETERS angstrom
-0.221 -2.567 2.829
2.038 -4.425 -3.857
8.643 1.895 2.394
ATOMIC_POSITIONS crystal
U 0.000 0.989 0.871
U 0.000 0.489 0.129
As 0.500 0.147 0.084
As 0.500 0.259 0.725
As 0.000 0.290 0.416
As 0.500 0.647 0.916
As 0.500 0.759 0.275
As 0.000 0.790 0.584
Ru 0.000 0.013 0.235
Ru 0.500 0.003 0.498
Ru 0.000 0.513 0.765
Ru 0.500 0.503 0.502
! Size of the total moment (μB/cell): 3.6
! Energy of formation from the pure elements (kJ/mol of formula units): -218

=====

Record 7
! CaAc3Nd (GGA-PBE, optimized geometry); values from VASP
&SYSTEM
  ibrav = 0, nat = 20, ntyp = 3
/
ATOMIC_SPECIES
Ca 40.08 Ca.upf
Ac 227.00 Ac.upf
Nd 144.24 Nd.upf
CELL_PARAMETERS angstrom
8.168 0.000 0.000
-0.001 10.278 -1.011
-0.002 0.907 10.288
ATOMIC_POSITIONS crystal
Ca 0.250 0.248 0.752
Ca 0.750 0.752 0.248
Ca 0.250 0.749 0.252
Ca 0.750 0.251 0.748
Ac 0.620 0.109 0.101
Ac 0.880 0.899 0.891
Ac 0.380 0.891 0.899
Ac 0.120 0.101 0.109
Ac 0.632 0.595 0.905
Ac 0.868 0.095 0.405
Ac 0.368 0.405 0.095
Ac 0.132 0.905 0.595
Ac 0.620 0.399 0.391
Ac 0.880 0.609 0.601
Ac 0.380 0.601 0.609
Ac 0.120 0.391 0.399
Nd 0.889 0.402 0.098
Nd 0.611 0.902 0.598
Nd 0.111 0.598 0.902
Nd 0.389 0.098 0.402
! Size of the total moment (μB/cell): 0.0
! Energy of formation from the pure elements (kJ/mol of formula units): 70

=====

Record 8
! YZr2Pd (GGA-PBE, optimized geometry); values from VASP
&SYSTEM
  ibrav = 0, nat = 8, ntyp = 3
/
ATOMIC_SPECIES
Y 88.91 Y.upf
Zr 91.22 Zr.upf
Pd 106.42 Pd.upf
CELL_PARAMETERS angstrom
8.114 0.000 0.000
0.000 8.114 0.000
4.057 4.057 2.972
ATOMIC_POSITIONS crystal
Y 0.500 0.500 0.000
Y 0.250 0.750 0.500
Zr 0.682 0.125 0.250
Zr 0.068 0.625 0.250
Zr 0.375 0.318 0.750
Zr 0.875 0.932 0.750
Pd 0.000 0.000 0.000
Pd 0.750 0.250 0.500
! Size of the total moment (μB/cell): 0.0
! Energy above the lowest structure with this stoichiometry (meV/atom): 0
! Energy of formation from the pure elements (kJ/mol of formula units): -21

=====

Record 9
! HoAl8Ga6 (GGA-PBE, optimized geometry); values from VASP
&SYSTEM
  ibrav = 0, nat = 15, ntyp = 3
/
ATOMIC_SPECIES
Ho 164.93 Ho.upf
Al 26.98 Al.upf
Ga 69.72 Ga.upf
CELL_PARAMETERS angstrom
6.810 0.000 0.000
3.405 5.898 0.000
3.405 1.966 7.094
ATOMIC_POSITIONS crystal
Ho 0.000 0.000 0.000
Al 0.642 0.139 0.393
Al 0.861 0.174 0.607
Al 0.174 0.358 0.607
Al 0.637 0.637 0.090
Al 0.363 0.363 0.910
Al 0.826 0.642 0.393
Al 0.139 0.826 0.393
Al 0.358 0.861 0.607
Ga 0.510 0.004 0.778
Ga 0.996 0.292 0.222
Ga 0.292 0.490 0.222
Ga 0.708 0.510 0.778
Ga 0.004 0.708 0.778
Ga 0.490 0.996 0.222
! Size of the total moment (μB/cell): 0.0
! Energy of formation from the pure elements (kJ/mol of formula units): -6

=====

Record 10
! SnBiCl2 (GGA-PBE, optimized geometry); values from VASP
&SYSTEM
  ibrav = 0, nat = 4, ntyp = 3
/
ATOMIC_SPECIES
Sn 118.71 Sn.upf
Bi 208.98 Bi.upf
Cl 35.45 Cl.upf
CELL_PARAMETERS angstrom
3.738 -0.002 0.000
-1.870 3.241 0.001
-0.009 -2.114 11.858
ATOMIC_POSITIONS crystal
Sn 0.585 0.924 0.552
Bi 0.082 0.927 0.052
Cl 0.867 0.489 0.398
Cl 0.303 0.358 0.707
! Formation energy (no corrections) (eV/atom): -0.36
! Size of the total moment (μB/cell): 0.0
! Energy above the lowest structure with this stoichiometry (meV/atom): 102

=====

Record 11
! Er12Ni6Os (GGA-PBE, optimized geometry); values from VASP
&SYSTEM
  ibrav = 0, nat = 19, ntyp = 3
/
ATOMIC_SPECIES
Er 167.26 Er.upf
Ni 58.69 Ni.upf
Os 190.23 Os.upf
CELL_PARAMETERS angstrom
7.698 0.000 -2.722
-3.849 6.667 -2.722
0.000 0.000 8.165
ATOMIC_POSITIONS crystal
Er 0.294 0.112 0.818
Er 0.294 0.476 0.182
Er 0.706 0.524 0.818
Er 0.706 0.888 0.182
Er 0.112 0.818 0.294
Er 0.476 0.182 0.294
Er 0.524 0.818 0.706
Er 0.888 0.182 0.706
Er 0.818 0.294 0.112
Er 0.182 0.294 0.476
Er 0.818 0.706 0.524
Er 0.182 0.706 0.888
Ni 0.372 0.500 0.872
Ni 0.628 0.500 0.128
Ni 0.500 0.872 0.372
Ni 0.500 0.128 0.628
Ni 0.872 0.372 0.500
Ni 0.128 0.628 0.500
Os 0.000 0.000 0.000
! Size of the total moment (μB/cell): 0.0
! Energy above the lowest structure with this stoichiometry (meV/atom): 0
! Energy of formation from the pure elements (kJ/mol of formula units): -544

=====

Record 12
! In7Sn2Hg3 (GGA-PBE, optimized geometry); values from VASP
&SYSTEM
  ibrav = 0, nat = 12, ntyp = 3
/
ATOMIC_SPECIES
In 114.82 In.upf
Sn 118.71 Sn.upf
Hg 200.59 Hg.upf
CELL_PARAMETERS angstrom
-0.346 -3.147 -0.484
4.718 -0.905 2.506
-5.990 -2.219 18.691
ATOMIC_POSITIONS crystal
In 0.500 0.779 0.461
In 0.500 0.221 0.539
In 0.000 0.059 0.150
In 0.000 0.000 0.000
In 0.000 0.941 0.850
In 0.500 0.493 0.793
In 0.500 0.507 0.207
Sn 0.500 0.933 0.300
Sn 0.500 0.067 0.700
Hg 0.500 0.500 0.000
Hg 0.000 0.364 0.376
Hg 0.000 0.636 0.624
! Size of the total moment (μB/cell): 0.0
! Energy of formation from the pure elements (kJ/mol of formula units): 79

=====

Record 13
! LiNbCl2 (GGA-PBE, optimized geometry); values from VASP
&SYSTEM
  ibrav = 0, nat = 4, ntyp = 3
/
ATOMIC_SPECIES
Nb 92.91 Nb.upf
Li 6.94 Li.upf
Cl 35.45 Cl.upf
CELL_PARAMETERS angstrom
-1.764 -7.371 3.116
1.421 -7.637 2.610
0.323 -6.233 5.310
ATOMIC_POSITIONS crystal
Nb 0.000 0.000 0.000
Li 0.500 0.500 0.500
Cl 0.898 0.898 0.898
Cl 0.102 0.102 0.102
! Formation energy (no corrections) (eV/atom): -0.81
! Size of the total moment (μB/cell): 0.0
! Energy above the lowest structure with this stoichiometry (meV/atom): 0

=====

Record 14
! BaRe2Si (GGA-PBE, optimized geometry); values from VASP
&SYSTEM
  ibrav = 0, nat = 4, ntyp = 3
/
ATOMIC_SPECIES
Ba 137.33 Ba.upf
Re 186.21 Re.upf
Si 28.09 Si.upf
CELL_PARAMETERS angstrom
-2.275 0.816 5.466
2.507 -2.888 4.593
0.025 4.026 -4.417
ATOMIC_POSITIONS crystal
Ba 0.250 0.750 0.500
Re 0.956 0.956 0.000
Re 0.544 0.544 0.000
Si 0.750 0.250 0.500
! Formation energy (no corrections) (eV/atom): 0.92
! Size of the total moment (μB/cell): 0.0

=====

Record 15
! MgZn3Pt2 (GGA-PBE, optimized geometry); values from VASP
&SYSTEM
  ibrav = 0, nat = 12, ntyp = 3
/
ATOMIC_SPECIES
Mg 24.30 Mg.upf
Zn 65.41 Zn.upf
Pt 195.08 Pt.upf
CELL_PARAMETERS angstrom
5.018 -0.247 -1.049
-2.199 4.517 -1.049
0.163 0.247 8.009
ATOMIC_POSITIONS crystal
Mg 0.333 0.333 0.666
Mg 0.667 0.667 0.334
Zn 0.675 0.161 0.836
Zn 0.839 0.325 0.164
Zn 0.325 0.839 0.164
Zn 0.161 0.675 0.836
Zn 0.836 0.836 0.672
Zn 0.164 0.164 0.328
Pt 0.250 0.750 0.500
Pt 0.746 0.746 0.000
Pt 0.750 0.250 0.500
Pt 0.254 0.254 0.000
! Size of the total moment (μB/cell): 0.0
! Energy of formation from the pure elements (kJ/mol of formula units): -258

=====

Record 16
! Mg2SiSb2 (GGA-PBE, optimized geometry); values from VASP
&SYSTEM
  ibrav = 0, nat = 10, ntyp = 3
/
ATOMIC_SPECIES
Sb 121.76 Sb.upf
Si 28.09 Si.upf
Mg 24.30 Mg.upf
CELL_PARAMETERS angstrom
-0.487 2.349 7.824
-7.604 -2.993 0.425
1.315 -3.194 1.041
ATOMIC_POSITIONS crystal
Sb 0.328 0.828 0.000
Sb 0.828 0.672 0.000
Sb 0.672 0.172 0.000
Sb 0.172 0.328 0.000
Si 0.000 0.000 0.000
Si 0.500 0.500 0.000
Mg 0.132 0.632 0.500
Mg 0.632 0.868 0.500
Mg 0.868 0.368 0.500
Mg 0.368 0.132 0.500
! Formation energy (no corrections) (eV/atom): 0.13
! Size of the total moment (μB/cell): 0.0
! Energy above the lowest structure with this stoichiometry (meV/atom): 0

=====

Record 17
! Rb3YHo2O6 (GGA-PBE, optimized geometry); values from VASP
&SYSTEM
  ibrav = 0, nat = 12, ntyp = 4
/
ATOMIC_SPECIES
Rb 85.47 Rb.upf
Y 88.91 Y.upf
Ho 164.93 Ho.upf
O 16.00 O.upf
CELL_PARAMETERS angstrom
6.064 -0.001 0.000
-3.031 5.252 0.000
-1.011 -1.751 6.558
ATOMIC_POSITIONS crystal
Rb 0.167 0.833 0.500
Rb 0.833 0.167 0.500
Rb 0.500 0.500 0.500
Y 0.000 0.000 0.000
Ho 0.333 0.667 0.000
Ho 0.667 0.333 0.000
O 0.942 0.606 0.825
O 0.723 0.723 0.175
O 0.058 0.394 0.175
O 0.606 0.942 0.825
O 0.277 0.277 0.825
O 0.394 0.058 0.175
! Formation energy (no corrections) (eV/atom): -2.70
! Size of the total moment (μB/cell): 0.0

=====

Record 18
! KGa2Hg2 (GGA-PBE, optimized geometry); values from VASP
&SYSTEM
  ibrav = 0, nat = 10, ntyp = 3
/
ATOMIC_SPECIES
K 39.10 K.upf
Hg 200.59 Hg.upf
Ga 69.72 Ga.upf
CELL_PARAMETERS angstrom
-6.763 -1.615 5.407
1.665 -8.635 -0.497
2.008 0.239 2.583
ATOMIC_POSITIONS crystal
K 0.000 0.000 0.000
K 0.500 0.500 0.000
Hg 0.168 0.668 0.500
Hg 0.668 0.832 0.500
Hg 0.832 0.332 0.500
Hg 0.332 0.168 0.500
Ga 0.377 0.877 0.000
Ga 0.877 0.623 0.000
Ga 0.623 0.123 0.000
Ga 0.123 0.377 0.000
! Size of the total moment (μB/cell): 0.0
! Energy above the lowest structure with this stoichiometry (meV/atom): 78
! Energy of formation from the pure elements (kJ/mol of formula units): -20

=====

Record 19
! TeMo2 (GGA-PBE, optimized geometry); values from VASP
&SYSTEM
  ibrav = 0, nat = 6, ntyp = 2
/
ATOMIC_SPECIES
Te 127.60 Te.upf
Mo 95.94 Mo.upf
CELL_PARAMETERS angstrom
-4.588 -3.112 1.866
-2.036 -4.097 3.646
-1.978 3.340 4.684
ATOMIC_POSITIONS crystal
Te 0.355 0.355 0.574
Te 0.645 0.645 0.426
Mo 0.686 0.686 0.869
Mo 0.028 0.028 0.187
Mo 0.972 0.972 0.813
Mo 0.314 0.314 0.131
! Formation energy (no corrections) (eV/atom): 0.27
! Size of the total moment (μB/cell): 0.0
! Energy above the lowest structure with this stoichiometry (meV/atom): 227

=====

Record 20
! RbLiGa2Pt (GGA-PBE, optimized geometry); values from VASP
&SYSTEM
  ibrav = 0, nat = 5, ntyp = 4
/
ATOMIC_SPECIES
Ga 69.72 Ga.upf
Rb 85.47 Rb.upf
Pt 195.08 Pt.upf
Li 6.94 Li.upf
CELL_PARAMETERS angstrom
4.868 0.000 0.000
0.000 4.868 0.000
0.000 0.000 5.287
ATOMIC_POSITIONS crystal
Ga 0.000 0.500 0.000
Ga 0.500 0.000 0.000
Rb 0.500 0.500 0.500
Pt 0.000 0.000 0.000
Li 0.000 0.000 0.500
! Size of the total moment (μB/cell): 0.0
! Energy of formation from the pure elements (kJ/mol of formula units): -176

=====

Record 21
! TiGeTe6 (GGA-PBE, optimized geometry); values from VASP
&SYSTEM
  ibrav = 0, nat = 16, ntyp = 3
/
ATOMIC_SPECIES
Ti 47.87 Ti.upf
Ge 72.64 Ge.upf
Te 127.60 Te.upf
CELL_PARAMETERS angstrom
-6.256 -2.560 -3.866
-4.669 -5.798 -2.284
-13.307 -0.461 12.400
ATOMIC_POSITIONS crystal
Ti 0.739 0.739 0.735
Ti 0.261 0.261 0.265
Ge 0.278 0.278 0.408
Ge 0.722 0.722 0.592
Te 0.906 0.906 0.258
Te 0.163 0.163 0.971
Te 0.400 0.400 0.124
Te 0.633 0.633 0.350
Te 0.094 0.094 0.742
Te 0.600 0.600 0.876
Te 0.837 0.837 0.029
Te 0.130 0.130 0.537
Te 0.870 0.870 0.463
Te 0.315 0.315 0.813
Te 0.685 0.685 0.187
Te 0.367 0.367 0.650
! Formation energy (no corrections) (eV/atom): -0.30
! Size of the total moment (μB/cell): 0.0

=====

Record 22
! ZnCuAgO2 (GGA-PBE, optimized geometry); values from VASP
&SYSTEM
  ibrav = 0, nat = 5, ntyp = 4
/
ATOMIC_SPECIES
O 16.00 O.upf
Zn 65.41 Zn.upf
Cu 63.55 Cu.upf
Ag 107.87 Ag.upf
CELL_PARAMETERS angstrom
3.812 0.000 0.000
0.000 5.028 0.000
0.000 0.000 3.812
ATOMIC_POSITIONS crystal
O 0.000 0.000 0.500
O 0.500 0.000 0.000
Zn 0.000 0.000 0.000
Cu 0.500 0.500 0.500
Ag 0.000 0.500 0.000
! Formation energy (no corrections) (eV/atom): 0.26
! Size of the total moment (μB/cell): 0.0

=====

Record 23
! YBRu4 (GGA-PBE, optimized geometry); values from VASP
&SYSTEM
  ibrav = 0, nat = 12, ntyp = 3
/
ATOMIC_SPECIES
Y 88.91 Y.upf
B 10.81 B.upf
Ru 101.07 Ru.upf
CELL_PARAMETERS angstrom
4.267 0.000 0.000
0.000 5.882 0.000
-2.134 0.000 7.136
ATOMIC_POSITIONS crystal
Y 0.409 0.750 0.818
Y 0.591 0.250 0.182
B 0.106 0.750 0.211
B 0.894 0.250 0.789
Ru 0.205 0.485 0.409
Ru 0.795 0.515 0.591
Ru 0.205 0.015 0.409
Ru 0.795 0.985 0.591
Ru 0.620 0.750 0.240
Ru 0.380 0.250 0.760
Ru 0.000 0.500 0.000
Ru 0.000 0.000 0.000
! Size of the total moment (μB/cell): 0.0
! Energy of formation from the pure elements (kJ/mol of formula units): -81